# LiSi2Ru

Crystalline LiSi2Ru at its relaxed geometry (PBE-GGA, the Alexandria database).

The value obtained for the relative energy among the computed polymorphs is 2.09 eV per formula unit. Its energy relative to the elements, uncorrected is 176 meV/atom. For the total magnetization, the calculation gives 0.00 μB per formula unit.

```
LiSi2Ru
1.0
4.8131 0.0000 0.0000
0.0000 4.8131 0.0000
2.4066 2.4066 7.5154
Si Ru Li
4 2 2
Direct
0.8750 0.0397 0.7500
0.7897 0.1250 0.2500
0.9603 0.6250 0.2500
0.3750 0.2103 0.7500
0.0000 0.0000 0.0000
0.7500 0.2500 0.5000
0.5000 0.5000 0.0000
0.2500 0.7500 0.5000
```